Record 1
# CoTc2Os (PBE-GGA, relaxed)
data_CoTc2Os
_chemical_formula_sum 'Co1 Tc2 Os1'
_symmetry_space_group_name_H-M 'P 1'
_symmetry_Int_Tables_number 1
_symmetry_space_group_name_Hall 'P 1'
_cell_length_a 4.618
_cell_length_b 4.618
_cell_length_c 4.618
_cell_angle_alpha 131.54
_cell_angle_beta 131.54
_cell_angle_gamma 70.96
loop_
_atom_site_label
_atom_site_type_symbol
_atom_site_fract_x
_atom_site_fract_y
_atom_site_fract_z
Co1 Co 0.250 0.750 0.500
Tc1 Tc 0.000 0.000 0.000
Tc2 Tc 0.500 0.500 0.000
Os1 Os 0.750 0.250 0.500
# Total magnetization: 0.000 μB/f.u.
# Excess energy over the best structure of this formula in the dataset: 0.090 eV per atom
# Calculated total energy: -38.86 eV for the cell shown


Record 2
# KNaNi2Cl8 (PBE-GGA, relaxed)
data_KNaNi2Cl8
_chemical_formula_sum 'K1 Na1 Ni2 Cl8'
_symmetry_space_group_name_H-M 'P 1'
_symmetry_Int_Tables_number 1
_symmetry_space_group_name_Hall 'P 1'
_cell_length_a 6.474
_cell_length_b 6.474
_cell_length_c 10.035
_cell_angle_alpha 71.18
_cell_angle_beta 71.18
_cell_angle_gamma 60.00
loop_
_atom_site_label
_atom_site_type_symbol
_atom_site_fract_x
_atom_site_fract_y
_atom_site_fract_z
Cl1 Cl 0.940 0.578 0.186
Cl2 Cl 0.296 0.940 0.186
Cl3 Cl 0.830 0.830 0.511
Cl4 Cl 0.422 0.704 0.814
Cl5 Cl 0.060 0.422 0.814
Cl6 Cl 0.170 0.170 0.489
Cl7 Cl 0.704 0.060 0.814
Cl8 Cl 0.578 0.296 0.186
Ni1 Ni 0.752 0.752 0.743
Ni2 Ni 0.248 0.248 0.257
K1 K 0.500 0.500 0.500
Na1 Na 0.000 0.000 0.000
# Total magnetization: 6.135 μB/f.u.
# Calculated total energy: -39.45 eV for the cell shown


Record 3
# Sc2Ga2Ag (PBE-GGA, relaxed)
data_Sc2Ga2Ag
_chemical_formula_sum 'Sc4 Ga4 Ag2'
_symmetry_space_group_name_H-M 'P 1'
_symmetry_Int_Tables_number 1
_symmetry_space_group_name_Hall 'P 1'
_cell_length_a 6.839
_cell_length_b 6.839
_cell_length_c 4.102
_cell_angle_alpha 90.00
_cell_angle_beta 90.00
_cell_angle_gamma 90.00
loop_
_atom_site_label
_atom_site_type_symbol
_atom_site_fract_x
_atom_site_fract_y
_atom_site_fract_z
Sc1 Sc 0.333 0.167 0.500
Sc2 Sc 0.667 0.833 0.500
Sc3 Sc 0.167 0.667 0.500
Sc4 Sc 0.833 0.333 0.500
Ag1 Ag 0.000 0.000 0.000
Ag2 Ag 0.500 0.500 0.000
Ga1 Ga 0.367 0.867 0.000
Ga2 Ga 0.133 0.367 0.000
Ga3 Ga 0.633 0.133 0.000
Ga4 Ga 0.867 0.633 0.000
# Total magnetization: 0.000 μB/f.u.
# Excess energy over the best structure of this formula in the dataset: 0.000 eV per atom
# Calculated total energy: -48.33 eV for the cell shown


> The highest calculated total energy belongs to which entry?

CoTc2Os